Entry from Alexandria: crystalline KScS2 at its relaxed geometry (GGA-PBE). Values from VASP.

Quantum ESPRESSO input file:
```
&SYSTEM
  ibrav = 0, nat = 4, ntyp = 3
/
ATOMIC_SPECIES
K 39.10 K.upf
Sc 44.96 Sc.upf
S 32.06 S.upf
CELL_PARAMETERS angstrom
3.8647 0.0000 0.0000
-1.9323 3.3469 0.0000
0.0000 0.0000 7.8502
ATOMIC_POSITIONS crystal
K 0.0000 0.0000 0.0000
Sc 0.6667 0.3333 0.5499
S 0.0000 0.0000 0.3832
S 0.3333 0.6667 0.7368
```

Magnetization (μB per formula unit): 0.00
Total energy (eV/atom): -5.575
E_form (uncorrected) (eV per atom): -1.654

---

Entry from Alexandria: crystalline KSc3S4 at its relaxed geometry (GGA-PBE). Values from VASP.

Quantum ESPRESSO input file:
```
&SYSTEM
  ibrav = 0, nat = 16, ntyp = 3
/
ATOMIC_SPECIES
K 39.10 K.upf
Sc 44.96 Sc.upf
S 32.06 S.upf
CELL_PARAMETERS angstrom
3.7572 0.0000 0.0000
-1.8786 3.2538 0.0000
0.0000 0.0000 26.6332
ATOMIC_POSITIONS crystal
K 0.3333 0.6667 0.2500
K 0.6667 0.3333 0.7500
Sc 0.0000 0.0000 0.0000
Sc 0.0000 0.0000 0.5000
Sc 0.3333 0.6667 0.6124
Sc 0.3333 0.6667 0.8876
Sc 0.6667 0.3333 0.1124
Sc 0.6667 0.3333 0.3876
S 0.0000 0.0000 0.1652
S 0.0000 0.0000 0.3348
S 0.0000 0.0000 0.6652
S 0.0000 0.0000 0.8348
S 0.3333 0.6667 0.0558
S 0.3333 0.6667 0.4442
S 0.6667 0.3333 0.5558
S 0.6667 0.3333 0.9442
```

Magnetization (μB per formula unit): 0.00
Total energy (eV/atom): -6.387
E_form (uncorrected) (eV per atom): -1.812

---

Entry from Alexandria: crystalline KScS2 at its relaxed geometry (GGA-PBE). Values from VASP.

Quantum ESPRESSO input file:
```
&SYSTEM
  ibrav = 0, nat = 4, ntyp = 3
/
ATOMIC_SPECIES
K 39.10 K.upf
Sc 44.96 Sc.upf
S 32.06 S.upf
CELL_PARAMETERS angstrom
4.8780 0.0000 0.0000
0.0000 4.8780 0.0000
0.0000 0.0000 3.4377
ATOMIC_POSITIONS crystal
K 0.0000 0.0000 0.0000
Sc 0.5000 0.5000 0.0000
S 0.0000 0.5000 0.5000
S 0.5000 0.0000 0.5000
```

Magnetization (μB per formula unit): 0.00
Total energy (eV/atom): -4.892
E_form (uncorrected) (eV per atom): -0.971

---

Entry from Alexandria: crystalline KScS2 at its relaxed geometry (GGA-PBE). Values from VASP.

Quantum ESPRESSO input file:
```
&SYSTEM
  ibrav = 0, nat = 16, ntyp = 3
/
ATOMIC_SPECIES
K 39.10 K.upf
Sc 44.96 Sc.upf
S 32.06 S.upf
CELL_PARAMETERS angstrom
4.4999 0.0000 0.0000
0.0000 22.1427 0.0000
0.0000 0.0000 4.9711
ATOMIC_POSITIONS crystal
K 0.0000 0.1826 0.2500
K 0.0000 0.8174 0.7500
K 0.5000 0.3174 0.7500
K 0.5000 0.6826 0.2500
Sc 0.0000 0.4336 0.2500
Sc 0.0000 0.5664 0.7500
Sc 0.5000 0.0664 0.7500
Sc 0.5000 0.9336 0.2500
S 0.0000 0.3285 0.2500
S 0.0000 0.4488 0.7500
S 0.0000 0.5512 0.2500
S 0.0000 0.6715 0.7500
S 0.5000 0.0512 0.2500
S 0.5000 0.1715 0.7500
S 0.5000 0.8285 0.2500
S 0.5000 0.9488 0.7500
```

Magnetization (μB per formula unit): 0.00
Total energy (eV/atom): -5.252
E_form (uncorrected) (eV per atom): -1.331

---

Entry from Alexandria: crystalline K2Sc3S6 at its relaxed geometry (GGA-PBE). Values from VASP.

Quantum ESPRESSO input file:
```
&SYSTEM
  ibrav = 0, nat = 11, ntyp = 3
/
ATOMIC_SPECIES
K 39.10 K.upf
Sc 44.96 Sc.upf
S 32.06 S.upf
CELL_PARAMETERS angstrom
3.2348 -5.6030 0.0000
3.2348 5.6030 0.0000
-2.1576 0.0000 7.5691
ATOMIC_POSITIONS crystal
K 0.1667 0.8333 0.0000
K 0.8333 0.1667 0.0000
Sc 0.0000 0.0000 0.5000
Sc 0.3334 0.6666 0.5000
Sc 0.6666 0.3334 0.5000
S 0.0638 0.3967 0.6901
S 0.2705 0.2705 0.3098
S 0.3967 0.0638 0.6901
S 0.6033 0.9362 0.3099
S 0.7295 0.7295 0.6902
S 0.9362 0.6033 0.3099
```

Magnetization (μB per formula unit): 0.00
Total energy (eV/atom): -5.836
E_form (uncorrected) (eV per atom): -1.658

---

Entry from Alexandria: crystalline KScS2 at its relaxed geometry (GGA-PBE). Values from VASP.

Quantum ESPRESSO input file:
```
&SYSTEM
  ibrav = 0, nat = 8, ntyp = 3
/
ATOMIC_SPECIES
K 39.10 K.upf
Sc 44.96 Sc.upf
S 32.06 S.upf
CELL_PARAMETERS angstrom
3.7267 0.0000 0.0000
0.0000 8.6835 0.0000
0.0000 0.0000 6.0672
ATOMIC_POSITIONS crystal
K 0.0000 0.1163 0.0000
K 0.5000 0.8837 0.5000
Sc 0.0000 0.6166 0.9675
Sc 0.5000 0.3834 0.4675
S 0.0000 0.1876 0.5029
S 0.0000 0.5862 0.5516
S 0.5000 0.4138 0.0516
S 0.5000 0.8124 0.0029
```

Magnetization (μB per formula unit): 0.00
Total energy (eV/atom): -5.609
E_form (uncorrected) (eV per atom): -1.688

---

Entry from Alexandria: crystalline KSc4S6 at its relaxed geometry (GGA-PBE). Values from VASP.

Quantum ESPRESSO input file:
```
&SYSTEM
  ibrav = 0, nat = 22, ntyp = 3
/
ATOMIC_SPECIES
K 39.10 K.upf
Sc 44.96 Sc.upf
S 32.06 S.upf
CELL_PARAMETERS angstrom
1.8748 -6.2333 0.0000
1.8748 6.2333 0.0000
0.0000 0.0000 19.8762
ATOMIC_POSITIONS crystal
K 0.1563 0.8437 0.7500
K 0.8437 0.1563 0.2500
Sc 0.0967 0.9033 0.1324
Sc 0.0967 0.9033 0.3676
Sc 0.3682 0.6318 0.0404
Sc 0.3682 0.6318 0.4596
Sc 0.6318 0.3682 0.5404
Sc 0.6318 0.3682 0.9596
Sc 0.9033 0.0967 0.6324
Sc 0.9033 0.0967 0.8676
S 0.0000 0.0000 0.0000
S 0.0000 0.0000 0.5000
S 0.1497 0.8503 0.2500
S 0.2722 0.7278 0.5790
S 0.2722 0.7278 0.9210
S 0.4633 0.5367 0.1500
S 0.4633 0.5367 0.3500
S 0.5367 0.4633 0.6500
S 0.5367 0.4633 0.8500
S 0.7278 0.2722 0.0790
S 0.7278 0.2722 0.4210
S 0.8503 0.1497 0.7500
```

Magnetization (μB per formula unit): 0.00
Total energy (eV/atom): -6.469
E_form (uncorrected) (eV per atom): -1.816

---

Entry from Alexandria: crystalline KScS2 at its relaxed geometry (GGA-PBE). Values from VASP.

Quantum ESPRESSO input file:
```
&SYSTEM
  ibrav = 0, nat = 16, ntyp = 3
/
ATOMIC_SPECIES
K 39.10 K.upf
Sc 44.96 Sc.upf
S 32.06 S.upf
CELL_PARAMETERS angstrom
6.6490 0.0000 0.0000
0.0000 10.7259 0.0000
0.0000 0.0000 6.5085
ATOMIC_POSITIONS crystal
K 0.0031 0.1247 0.0000
K 0.4969 0.6247 0.5000
K 0.5031 0.3753 0.0000
K 0.9969 0.8753 0.5000
Sc 0.0515 0.3752 0.4542
Sc 0.4485 0.8752 0.9542
Sc 0.5515 0.1248 0.4542
Sc 0.9485 0.6248 0.9542
S 0.0215 0.4137 0.0858
S 0.0924 0.8342 0.0148
S 0.4076 0.3342 0.5148
S 0.4785 0.9137 0.5858
S 0.5215 0.0863 0.0858
S 0.5924 0.6658 0.0148
S 0.9076 0.1658 0.5148
S 0.9785 0.5863 0.5858
```

Magnetization (μB per formula unit): 0.00
Total energy (eV/atom): -5.541
E_form (uncorrected) (eV per atom): -1.620